(1)
A plane-wave DFT calculation with PBE-GGA was carried out for a relaxed structure of TcPd2.

Lattice parameters (Å, degrees): 4.446 4.446 2.633 90.00 90.00 119.99
Sites, in units of the cell vectors:
Tc  0.000  0.000  0.000
Pd  0.333  0.667  0.500
Pd  0.667  0.333  0.500

DOS at the Fermi energy (states/eV/f.u.): 1.835
Formation energy from the elements (eV/atom): 0.1749
Uncorrected energy (Ry per atom): -0.49555
Offset from the most stable computed form (eV/f.u.): 0.48
Volume (A^3/atom): 15.03
Total moment (μB/f.u.): 0.00
Space-group type: P6/mmm


(2)
A plane-wave DFT calculation with PBE-GGA was carried out for a relaxed structure of Tc4Pd.

Lattice parameters (Å, degrees): 8.190 5.524 9.112 90.00 134.58 90.00
Sites, in units of the cell vectors:
Tc  0.699  0.874  0.647
Tc  0.699  0.626  0.147
Tc  0.301  0.374  0.853
Tc  0.301  0.126  0.353
Tc  0.691  0.121  0.138
Tc  0.495  0.122  0.748
Tc  0.505  0.878  0.252
Tc  0.309  0.879  0.862
Tc  0.691  0.379  0.638
Tc  0.309  0.621  0.362
Tc  0.505  0.622  0.752
Tc  0.495  0.378  0.248
Tc  0.112  0.122  0.954
Tc  0.888  0.622  0.546
Tc  0.888  0.878  0.046
Tc  0.112  0.378  0.454
Pd  0.898  0.126  0.549
Pd  0.102  0.626  0.951
Pd  0.898  0.374  0.049
Pd  0.102  0.874  0.451

DOS at the Fermi energy (states/eV/f.u.): 4.767
Formation energy from the elements (eV/atom): 0.0719
Uncorrected energy (Ry per atom): -0.68056
Offset from the most stable computed form (eV/f.u.): 0.00
Volume (A^3/atom): 14.68
Total moment (μB/f.u.): 0.00
Space-group type: P2_1/c


(3)
A plane-wave DFT calculation with PBE-GGA was carried out for a relaxed structure of Tc3Pd.

Lattice parameters (Å, degrees): 2.757 4.398 4.815 90.00 90.00 90.00
Sites, in units of the cell vectors:
Tc  0.000  0.000  0.001
Tc  0.500  0.000  0.506
Tc  0.500  0.500  0.827
Pd  0.000  0.500  0.333

DOS at the Fermi energy (states/eV/f.u.): 4.101
Formation energy from the elements (eV/atom): 0.0277
Uncorrected energy (Ry per atom): -0.66480
Offset from the most stable computed form (eV/f.u.): 0.38
Volume (A^3/atom): 14.59
Total moment (μB/f.u.): 0.00
Space-group type: Pmm2


(4)
A plane-wave DFT calculation with PBE-GGA was carried out for a relaxed structure of TcPd.

Lattice parameters (Å, degrees): 2.728 4.779 5.570 90.74 88.66 124.83
Sites, in units of the cell vectors:
Tc  0.458  0.250  0.889
Tc  0.542  0.750  0.111
Pd  0.503  0.250  0.373
Pd  0.497  0.750  0.627

DOS at the Fermi energy (states/eV/f.u.): 2.003
Formation energy from the elements (eV/atom): 0.0416
Uncorrected energy (Ry per atom): -0.56872
Offset from the most stable computed form (eV/f.u.): 0.00
Volume (A^3/atom): 14.90
Total moment (μB/f.u.): 0.00
Space-group type: P2_1/m


(5)
A plane-wave DFT calculation with PBE-GGA was carried out for a relaxed structure of TcPd5.

Lattice parameters (Å, degrees): 2.762 4.795 7.388 95.97 79.23 73.26
Sites, in units of the cell vectors:
Tc  0.056  0.000  0.889
Pd  0.394  0.998  0.215
Pd  0.717  0.002  0.563
Pd  0.556  0.500  0.389
Pd  0.883  0.507  0.728
Pd  0.228  0.493  0.050

DOS at the Fermi energy (states/eV/f.u.): 7.496
Formation energy from the elements (eV/atom): 0.0197
Uncorrected energy (Ry per atom): -0.44359
Offset from the most stable computed form (eV/f.u.): 0.00
Volume (A^3/atom): 15.12
Total moment (μB/f.u.): 0.00
Space-group type: C2/m


(6)
A plane-wave DFT calculation with PBE-GGA was carried out for a relaxed structure of Tc3Pd.

Lattice parameters (Å, degrees): 5.544 5.544 4.399 90.00 90.00 120.00
Sites, in units of the cell vectors:
Tc  0.842  0.158  0.750
Tc  0.317  0.158  0.750
Tc  0.842  0.683  0.750
Tc  0.158  0.842  0.250
Tc  0.683  0.842  0.250
Tc  0.158  0.317  0.250
Pd  0.667  0.333  0.250
Pd  0.333  0.667  0.750

DOS at the Fermi energy (states/eV/f.u.): 2.203
Formation energy from the elements (eV/atom): -0.0673
Uncorrected energy (Ry per atom): -0.67178
Offset from the most stable computed form (eV/f.u.): 0.00
Volume (A^3/atom): 14.64
Total moment (μB/f.u.): 0.00
Space-group type: P6_3/mmc


(7)
A plane-wave DFT calculation with PBE-GGA was carried out for a relaxed structure of TcTe2Pd.

Lattice parameters (Å, degrees): 4.787 4.787 4.787 60.00 60.00 60.00
Sites, in units of the cell vectors:
Te  0.250  0.250  0.250
Te  0.750  0.750  0.750
Tc  0.000  0.000  0.000
Pd  0.500  0.500  0.500

DOS at the Fermi energy (states/eV/f.u.): 5.379
Formation energy (no corrections) (meV per atom): 234
Uncorrected energy (Ry per atom): -0.38413
Offset from the most stable computed form (eV/f.u.): 0.39
Volume (A^3/atom): 19.39
Total moment (μB/f.u.): 0.87
Space-group type: Fm-3m


(8)
A plane-wave DFT calculation with PBE-GGA was carried out for a relaxed structure of Tc2TePd.

Lattice parameters (Å, degrees): 5.774 5.774 7.091 65.97 65.97 90.00
Sites, in units of the cell vectors:
Te  0.000  0.000  0.000
Te  0.750  0.250  0.500
Tc  0.604  0.125  0.250
Tc  0.146  0.625  0.250
Tc  0.375  0.396  0.750
Tc  0.875  0.854  0.750
Pd  0.500  0.500  0.000
Pd  0.250  0.750  0.500

DOS at the Fermi energy (states/eV/f.u.): 7.662
Formation energy (no corrections) (meV per atom): 1150
Uncorrected energy (Ry per atom): -0.44958
Volume (A^3/atom): 24.16
Total moment (μB/f.u.): 0.00
Space-group type: I-42d


(9)
A plane-wave DFT calculation with PBE-GGA was carried out for a relaxed structure of TcTePd3.

Lattice parameters (Å, degrees): 4.911 4.911 4.911 90.00 90.00 90.00
Sites, in units of the cell vectors:
Te  0.000  0.000  0.000
Tc  0.500  0.500  0.500
Pd  0.000  0.500  0.000
Pd  0.000  0.000  0.500
Pd  0.500  0.000  0.000

DOS at the Fermi energy (states/eV/f.u.): 2.662
Formation energy (no corrections) (meV per atom): 907
Uncorrected energy (Ry per atom): -0.36093
Offset from the most stable computed form (eV/f.u.): 0.00
Volume (A^3/atom): 23.69
Total moment (μB/f.u.): 4.60
Space-group type: Pm-3m


(10)
A plane-wave DFT calculation with PBE-GGA was carried out for a relaxed structure of TcTe3Pd.

Lattice parameters (Å, degrees): 4.364 5.372 5.372 74.57 90.00 90.00
Sites, in units of the cell vectors:
Tc  0.512  0.262  0.740
Te  0.512  0.117  0.268
Te  0.012  0.482  0.520
Te  0.512  0.734  0.885
Pd  0.012  0.905  0.097

DOS at the Fermi energy (states/eV/f.u.): 4.296
Formation energy (no corrections) (meV per atom): -25
Uncorrected energy (Ry per atom): -0.36913
Offset from the most stable computed form (eV/f.u.): 0.00
Volume (A^3/atom): 24.28
Total moment (μB/f.u.): 0.00
Space-group type: Amm2


(11)
A plane-wave DFT calculation with PBE-GGA was carried out for a relaxed structure of Tc3TePd.

Lattice parameters (Å, degrees): 4.775 4.775 4.775 90.00 90.00 90.00
Sites, in units of the cell vectors:
Te  0.000  0.000  0.000
Tc  0.000  0.500  0.000
Tc  0.000  0.000  0.500
Tc  0.500  0.000  0.000
Pd  0.500  0.500  0.500

DOS at the Fermi energy (states/eV/f.u.): 5.722
Formation energy (no corrections) (meV per atom): 1896
Uncorrected energy (Ry per atom): -0.44032
Offset from the most stable computed form (eV/f.u.): 0.00
Volume (A^3/atom): 21.77
Total moment (μB/f.u.): 0.00
Space-group type: Pm-3m


(12)
A plane-wave DFT calculation with PBE-GGA was carried out for a relaxed structure of TcTePd3.

Lattice parameters (Å, degrees): 4.811 4.811 4.811 90.00 90.00 90.00
Sites, in units of the cell vectors:
Te  0.500  0.500  0.500
Tc  0.000  0.000  0.000
Pd  0.000  0.500  0.000
Pd  0.000  0.000  0.500
Pd  0.500  0.000  0.000

DOS at the Fermi energy (states/eV/f.u.): 7.139
Formation energy (no corrections) (meV per atom): 1035
Uncorrected energy (Ry per atom): -0.35148
Offset from the most stable computed form (eV/f.u.): 0.64
Volume (A^3/atom): 22.27
Total moment (μB/f.u.): 0.00
Space-group type: Pm-3m